# NiMoN2O PBE+U optimized geometry
# E (eV for the cell shown): -25.39
data_NiMoN2O
_space_group_name_H-M_alt 'P 4/m m m'
_space_group_IT_number 123
_space_group_name_Hall '-P 4 2'
_cell_length_a 3.663
_cell_length_b 3.663
_cell_length_c 3.698
_cell_angle_alpha 90.00
_cell_angle_beta 90.00
_cell_angle_gamma 90.00
loop_
_atom_site_label
_atom_site_fract_x
_atom_site_fract_y
_atom_site_fract_z
_atom_site_occupancy
Ni1 0.000 0.000 0.000 1
Mo1 0.500 0.500 0.500 1
N1 0.000 0.500 0.000 1
O1 0.000 0.000 0.500 1